Record 1
Computed, not measured: a geometry-optimized HoPb2IO4 structure at the GGA-PBE level of DFT.

Unit cell a=3.994 b=3.994 c=9.534 alpha=90.00 beta=90.00 gamma=90.00
Fractional coordinates of all 8 atoms:
O 0.000 0.500 0.137
O 0.500 0.000 0.863
I 0.000 0.000 0.500
O 0.000 0.500 0.863
Pb 0.500 0.500 0.253
Ho 0.000 0.000 0.000
O 0.500 0.000 0.137
Pb 0.500 0.500 0.747

Properties
Raw formation energy = -1261 kJ/mol of formula units
SG = P4/mmm, No. 123
Total magnetization = 0.000 μB/atom
D(E_F) = 4.22 states/eV/f.u.


Record 2
Computed, not measured: a geometry-optimized Y2ScCd8 structure at the GGA-PBE level of DFT.

Unit cell a=5.003 b=7.195 c=8.504 alpha=115.01 beta=107.11 gamma=90.00
Fractional coordinates of all 11 atoms:
Y 0.202 0.702 0.405
Cd 0.366 0.574 0.732
Cd 0.634 0.842 0.269
Y 0.798 0.298 0.595
Cd 0.366 0.158 0.731
Cd 0.000 0.711 0.000
Sc 0.500 0.000 0.000
Cd 0.154 0.153 0.307
Cd 0.634 0.426 0.268
Cd 0.000 0.289 0.000
Cd 0.846 0.847 0.693

Properties
SG = Immm, No. 71
Total magnetization = 0.000 μB/atom
ΔE_f = -0.181 eV per atom
D(E_F) = 6.19 states/eV/f.u.


Record 3
Computed, not measured: a geometry-optimized Mg5Np3O12 structure at the GGA-PBE level of DFT.

Unit cell a=10.786 b=10.786 c=10.786 alpha=109.47 beta=109.47 gamma=109.47
Site moments in Bohr magnetons follow the coordinates.
Fractional coordinates of all 80 atoms:
O 0.910 0.086 0.867  -0.06
Mg 0.125 0.375 0.250  0.00
Mg 0.375 0.125 0.750  0.00
O 0.219 0.676 0.086  -0.06
Np 0.375 0.625 0.250  2.58
O 0.414 0.281 0.324  -0.06
Mg 0.125 0.750 0.375  0.00
Mg 0.875 0.250 0.625  0.00
O 0.324 0.543 0.410  -0.06
O 0.133 0.414 0.090  -0.06
Np 0.625 0.375 0.750  2.58
O 0.781 0.324 0.914  -0.06
O 0.457 0.676 0.090  -0.06
Mg 0.375 0.250 0.125  0.00
O 0.676 0.219 0.586  -0.06
Np 0.750 0.375 0.125  2.58
O 0.367 0.410 0.086  -0.06
O 0.957 0.367 0.281  -0.06
O 0.590 0.633 0.414  -0.06
O 0.090 0.176 0.457  -0.06
Np 0.875 0.750 0.125  2.58
O 0.176 0.086 0.719  -0.06
Np 0.750 0.875 0.625  2.58
O 0.410 0.367 0.586  -0.06
Mg 0.250 0.375 0.625  0.00
O 0.957 0.590 0.176  -0.06
O 0.133 0.719 0.543  -0.06
Np 0.375 0.750 0.625  2.58
Mg 0.000 0.500 0.000  0.00
O 0.281 0.414 0.824  -0.06
O 0.543 0.219 0.133  -0.06
O 0.910 0.824 0.543  -0.06
O 0.867 0.281 0.457  -0.06
Mg 0.750 0.125 0.875  0.00
O 0.676 0.457 0.590  -0.06
Np 0.250 0.625 0.875  2.58
Mg 0.250 0.875 0.125  0.00
O 0.219 0.543 0.633  -0.06
O 0.633 0.043 0.219  -0.06
O 0.090 0.914 0.133  -0.06
Mg 0.000 0.500 0.500  0.00
Mg 0.625 0.875 0.250  0.00
Mg 0.500 0.000 0.000  0.00
Mg 0.875 0.625 0.750  0.00
O 0.457 0.781 0.867  -0.06
Np 0.250 0.125 0.375  2.58
O 0.410 0.043 0.324  -0.06
O 0.781 0.457 0.367  -0.06
O 0.914 0.090 0.633  -0.06
O 0.086 0.910 0.367  -0.06
O 0.824 0.914 0.281  -0.06
O 0.043 0.633 0.719  -0.06
O 0.590 0.957 0.676  -0.06
O 0.043 0.410 0.824  -0.06
Mg 0.500 0.500 0.000  0.00
Mg 0.000 0.000 0.500  0.00
O 0.719 0.586 0.176  -0.06
O 0.324 0.781 0.414  -0.06
O 0.719 0.133 0.043  -0.06
Np 0.875 0.125 0.250  2.58
Np 0.125 0.875 0.750  2.58
Mg 0.625 0.750 0.875  0.00
O 0.176 0.090 0.957  -0.06
Mg 0.000 0.000 0.000  0.00
O 0.543 0.324 0.910  -0.06
O 0.914 0.824 0.781  -0.06
O 0.414 0.133 0.590  -0.06
O 0.633 0.590 0.914  -0.06
O 0.867 0.586 0.910  -0.06
O 0.586 0.867 0.410  -0.06
Np 0.625 0.250 0.375  2.58
O 0.586 0.719 0.676  -0.06
Mg 0.500 0.000 0.500  0.00
Mg 0.750 0.625 0.375  0.00
Np 0.125 0.250 0.875  2.58
Mg 0.500 0.500 0.500  0.00
O 0.086 0.176 0.219  -0.06
O 0.824 0.910 0.043  -0.06
O 0.367 0.957 0.781  -0.06
O 0.281 0.867 0.957  -0.06

Properties
Raw formation energy = -5200 kJ/mol of formula units
SG = Ia-3d, No. 230
Total magnetization = 0.350 μB/atom
D(E_F) = 26.42 states/eV/f.u.